10
Lattice="3.607 0.000 0.000 0.000 5.115 0.000 -1.809 0.000 13.167" Properties=species:S:1:pos:R:3 comment="Y2TmZn2 (GGA-PBE, relaxed)" space_group="P2_1/m, No. 11" n_ef_per_ev_atom=0.961 total_energy_ev_per_atom=-4.263 crystal_system=monoclinic pbc="T T T"
Y 0.000 1.279 1.217
Y -0.004 1.279 6.114
Y 1.802 3.836 7.053
Y 1.799 3.836 11.951
Tm 0.000 3.836 3.778
Tm 1.799 1.279 9.389
Zn -0.004 3.836 9.485
Zn -0.004 1.279 11.843
Zn 1.802 3.836 1.324
Zn 1.802 1.279 3.682